Entry 1:
This record from Alexandria describes Rb2GaTeI6 after structural relaxation. The functional is PBE-GGA.

Lattice parameters (Å, degrees): 8.618 8.618 12.057 90.00 90.00 90.00
Space group I4/mmm (No. 139)
Symmetry-distinct sites (fractional):
Rb  0.000  0.500  0.250 (multiplicity 4)
Ga  0.000  0.000  0.000 (multiplicity 2)
Te  0.000  0.000  0.500 (multiplicity 2)
I  0.000  0.000  0.253 (multiplicity 4)
I  0.239  0.239  0.000 (multiplicity 8)

Properties
Uncorrected energy = -2.432 eV/atom

=====

Entry 2:
This record from Alexandria describes MgGa2C after structural relaxation. The functional is PBE-GGA.

Lattice parameters (Å, degrees): 6.387 6.387 6.387 90.00 90.00 90.00
Space group Fm-3m (No. 225)
Symmetry-distinct sites (fractional):
Mg  0.000  0.000  0.000 (multiplicity 4)
Ga  0.250  0.250  0.250 (multiplicity 8)
C  0.000  0.000  0.500 (multiplicity 4)

Properties
E_form = 1.156 eV/atom
Uncorrected energy = -3.062 eV/atom
Relative energy among the computed polymorphs = 655.2 meV/atom

=====

Entry 3:
This record from Alexandria describes CaMoN3 after structural relaxation. The functional is PBE-GGA.

Lattice parameters (Å, degrees): 6.887 5.581 8.207 90.00 125.24 90.00
Space group P2_1/c (No. 14)
Symmetry-distinct sites (fractional):
Ca  0.232  0.239  0.127 (multiplicity 4)
Mo  0.221  0.726  0.335 (multiplicity 4)
N  0.062  0.030  0.309 (multiplicity 4)
N  0.263  0.712  0.638 (multiplicity 4)
N  0.427  0.098  0.971 (multiplicity 4)

Properties
Uncorrected energy = -8.045 eV/atom

=====

Entry 4:
This record from Alexandria describes Cs3GeBr after structural relaxation. The functional is PBE-GGA.

Lattice parameters (Å, degrees): 6.858 6.858 6.858 90.00 90.00 90.00
Space group Pm-3m (No. 221)
Symmetry-distinct sites (fractional):
Cs  0.000  0.000  0.500 (multiplicity 3)
Ge  0.500  0.500  0.500 (multiplicity 1)
Br  0.000  0.000  0.000 (multiplicity 1)

Properties
Uncorrected energy = -2.172 eV/atom
Relative energy among the computed polymorphs = 0.0 meV/atom

=====

Entry 5:
This record from Alexandria describes BaAsF after structural relaxation. The functional is PBE-GGA.

Lattice parameters (Å, degrees): 7.940 4.499 8.906 90.00 106.32 90.00
Space group C2/m (No. 12)
Symmetry-distinct sites (fractional):
Ba  0.099  0.000  0.287 (multiplicity 4)
As  0.152  0.500  0.974 (multiplicity 4)
F  0.197  0.000  0.600 (multiplicity 4)

Properties
Uncorrected energy = -5.077 eV/atom
Relative energy among the computed polymorphs = 63.7 meV/atom

=====

Entry 6:
This record from Alexandria describes TlAs2Pb2 after structural relaxation. The functional is PBE-GGA.

Lattice parameters (Å, degrees): 8.640 8.640 3.770 90.00 90.00 90.00
Space group P4/mbm (No. 127)
Symmetry-distinct sites (fractional):
Tl  0.000  0.000  0.000 (multiplicity 2)
As  0.145  0.355  0.500 (multiplicity 4)
Pb  0.140  0.640  0.000 (multiplicity 4)

Properties
E_form = 0.141 eV/atom
Uncorrected energy = -3.676 eV/atom
Relative energy among the computed polymorphs = 80.8 meV/atom

=====

Entry 7:
This record from Alexandria describes GdSnN after structural relaxation. The functional is PBE-GGA.

Lattice parameters (Å, degrees): 3.406 3.406 11.460 90.00 90.00 90.00
Space group I4mm (No. 107)
Symmetry-distinct sites (fractional):
Gd  0.000  0.000  0.000 (multiplicity 2)
Sn  0.000  0.000  0.289 (multiplicity 2)
N  0.000  0.000  0.485 (multiplicity 2)

Properties
Uncorrected energy = -9.554 eV/atom

=====

Entry 8:
This record from Alexandria describes TlS5F after structural relaxation. The functional is PBE-GGA.

Lattice parameters (Å, degrees): 7.395 16.541 4.407 90.00 115.51 90.00
Space group C2 (No. 5)
Symmetry-distinct sites (fractional):
Tl  0.000  0.000  0.000 (multiplicity 2)
S  0.000  0.623  0.500 (multiplicity 2)
S  0.002  0.382  0.218 (multiplicity 4)
S  0.109  0.700  0.912 (multiplicity 4)
F  0.000  0.935  0.500 (multiplicity 2)

Properties
Uncorrected energy = -3.802 eV/atom

=====

Please write out number 3 again, unchanged.
This record from Alexandria describes CaMoN3 after structural relaxation. The functional is PBE-GGA.

Lattice parameters (Å, degrees): 6.887 5.581 8.207 90.00 125.24 90.00
Space group P2_1/c (No. 14)
Symmetry-distinct sites (fractional):
Ca  0.232  0.239  0.127 (multiplicity 4)
Mo  0.221  0.726  0.335 (multiplicity 4)
N  0.062  0.030  0.309 (multiplicity 4)
N  0.263  0.712  0.638 (multiplicity 4)
N  0.427  0.098  0.971 (multiplicity 4)

Properties
Uncorrected energy = -8.045 eV/atom